# 1
LiYGe GGA-PBE optimized geometry; uncorrected energy = -14.74 eV/cell; total magnetization = 0.00 μB/f.u.; SG = No. 216; excess energy over the best structure of this formula in the dataset = 152 meV per atom
1.0
4.6735 0.0000 0.0000
2.3368 4.0474 0.0000
2.3368 1.3491 3.8159
Ge Li Y
1 1 1
Cartesian
2.3368 1.3491 0.9540
0.0000 0.0000 0.0000
4.6735 2.6983 1.9080

---

# 2
LiYGe GGA-PBE optimized geometry; uncorrected energy = -45.59 eV/cell; total magnetization = 0.00 μB/f.u.; SG = No. 189; excess energy over the best structure of this formula in the dataset = 0 meV per atom
1.0
7.0707 0.0000 0.0000
-3.5353 6.1234 0.0000
0.0000 0.0000 4.2742
Li Y Ge
3 3 3
Cartesian
2.7121 4.6975 2.1371
-0.8233 1.4259 2.1371
1.6465 0.0000 2.1371
1.5030 2.6033 0.0000
4.0647 0.0000 0.0000
-2.0324 3.5201 0.0000
0.0000 4.0823 2.1371
0.0000 0.0000 0.0000
3.5354 2.0411 2.1371

---

# 3
LiYGe GGA-PBE optimized geometry; uncorrected energy = -13.17 eV/cell; total magnetization = 0.00 μB/f.u.; SG = No. 216; excess energy over the best structure of this formula in the dataset = 675 meV per atom
1.0
0.0000 3.3498 3.3498
3.3498 0.0000 3.3498
3.3498 3.3498 0.0000
Li Y Ge
1 1 1
Cartesian
1.6749 1.6749 1.6749
0.0000 0.0000 0.0000
5.0247 5.0247 5.0247

---

# 4
LiYGe GGA-PBE optimized geometry; uncorrected energy = -60.26 eV/cell; total magnetization = 0.00 μB/f.u.; SG = No. 62; excess energy over the best structure of this formula in the dataset = 45 meV per atom
1.0
-1.6292 -6.4913 -2.5197
-0.8255 -1.3674 4.0565
-7.3948 2.1577 -0.7774
Ge Y Li
4 4 4
Cartesian
-2.0995 -4.9021 -0.9083
-6.2622 -4.7164 0.6500
-7.7500 -0.7990 1.6677
-3.5873 -0.9846 0.1095
-2.2030 -0.6164 2.8580
-6.2775 -2.0008 -0.7805
-7.6465 -5.0847 -2.0986
-3.5720 -3.7003 1.5399
-4.6978 -4.7912 -1.3996
-8.5578 -3.3993 0.6268
-5.1517 -0.9098 2.1591
-1.2917 -2.3017 0.1326

---

# 5
LiYGe GGA-PBE optimized geometry; uncorrected energy = -29.34 eV/cell; total magnetization = 0.00 μB/f.u.; SG = No. 156; excess energy over the best structure of this formula in the dataset = 177 meV per atom
1.0
4.0323 -2.3281 0.0000
0.0000 4.6561 0.0000
0.0000 0.0000 6.7748
Li Y Ge
2 2 2
Cartesian
2.6882 0.0000 1.8988
1.3441 2.3281 2.7275
1.3441 2.3281 6.5053
0.0000 0.0000 4.0780
2.6882 0.0000 4.8365
0.0000 0.0000 1.1515

---

# 6
LiYGe GGA-PBE optimized geometry; uncorrected energy = -28.73 eV/cell; total magnetization = 0.00 μB/f.u.; SG = No. 12; excess energy over the best structure of this formula in the dataset = 278 meV per atom
1.0
-3.6494 -14.3242 -8.2543
1.0405 -7.3652 -4.3338
2.1560 5.3803 6.3651
Ge Li Y
2 2 2
Cartesian
0.8748 -2.0784 1.0930
-1.3277 -14.2308 -7.3160
-1.1352 -12.2142 -5.6483
0.6824 -4.0949 -0.5747
-1.0126 -9.7428 -3.4263
0.5597 -6.5664 -2.7967

---

# 7
LiYGe GGA-PBE optimized geometry; uncorrected energy = -29.37 eV/cell; total magnetization = 0.00 μB/f.u.; SG = No. 12; excess energy over the best structure of this formula in the dataset = 172 meV per atom
1.0
-0.3286 -8.7296 -2.1304
3.0259 -2.7205 1.6375
-3.0836 1.6819 2.6270
Ge Y Li
2 2 2
Cartesian
-0.1643 -4.3648 -1.0652
0.0000 0.0000 0.0000
-0.5044 -7.3738 0.4565
0.1181 -2.3944 1.6776
-1.6397 -4.7181 1.0879
1.2534 -5.0501 1.0462

---

# 8
Li2YGe GGA-PBE optimized geometry; uncorrected energy = -31.69 eV/cell; total magnetization = 0.00 μB/f.u.; SG = No. 122
1.0
4.1396 0.0000 0.0000
0.0000 4.1396 0.0000
2.0698 2.0698 10.0754
Ge Y Li
2 2 4
Cartesian
2.0698 4.1396 5.0377
2.0698 2.0698 0.0000
0.0000 0.0000 0.0000
4.1396 2.0698 5.0377
3.1047 4.8640 7.5566
5.1746 3.4153 7.5566
1.3454 1.0349 2.5189
2.7942 3.1047 2.5189

---

# 9
Li4Y3Ge4 GGA-PBE optimized geometry; uncorrected energy = -52.98 eV/cell; total magnetization = 0.00 μB/f.u.; SG = No. 71
1.0
4.1656 0.0000 -1.1468
-0.7557 6.1064 -2.7449
0.0184 -0.0260 8.2059
Ge Y Li
4 3 4
Cartesian
1.4704 4.9487 -2.7979
3.0675 1.7298 3.0037
0.3608 4.3506 1.3106
1.9395 1.1577 -1.0938
0.4433 0.7787 1.6103
2.9850 5.3017 2.7039
-0.3778 3.0532 -1.3724
2.1549 5.2586 -0.3113
0.9857 3.1464 3.5806
1.2734 0.8218 4.6255
2.4426 2.9340 0.7336

---

# 10
LiYGe GGA-PBE optimized geometry; uncorrected energy = -19.09 eV/cell; total magnetization = 0.00 μB/f.u.; SG = No. 194; excess energy over the best structure of this formula in the dataset = 1884 meV per atom
1.0
4.6880 -2.7066 0.0000
0.0000 5.4133 0.0000
0.0000 0.0000 10.8390
Y Ge Li
2 2 2
Cartesian
0.0000 0.0000 8.1293
0.0000 0.0000 2.7098
0.0000 0.0000 5.4195
0.0000 0.0000 0.0000
1.5627 2.7066 2.7098
3.1254 0.0000 8.1293

---

# 11
Li2Y2Ge3 GGA-PBE optimized geometry; uncorrected energy = -70.86 eV/cell; total magnetization = 0.00 μB/f.u.; SG = No. 63
1.0
4.1973 0.0000 -1.0007
0.0000 6.8428 0.0000
0.0292 0.0000 9.4254
Y Li Ge
4 4 6
Cartesian
4.0010 1.7107 7.4787
0.6637 1.7107 2.7837
3.5628 5.1321 5.6411
0.2255 5.1321 0.9460
1.3089 2.9975 5.4902
2.9176 6.4189 2.9345
1.3089 0.4239 5.4902
2.9176 3.8453 2.9345
1.8566 6.4109 7.7875
1.8566 3.8534 7.7875
2.3699 2.9894 0.6372
3.2829 1.7107 4.4669
0.9436 5.1321 3.9579
2.3699 0.4320 0.6372

---

# 12
Li2YZn2Ge2 GGA-PBE optimized geometry; uncorrected energy = -25.57 eV/cell; total magnetization = 0.00 μB/f.u.; SG = No. 166
1.0
4.2273 0.0000 0.0000
2.1137 3.6610 0.0000
2.1137 1.2203 7.8009
Li Y Zn Ge
2 1 2 2
Cartesian
6.3410 3.6610 3.3547
2.1137 1.2203 4.4462
0.0000 0.0000 0.0000
4.2273 2.4407 2.4426
4.2273 2.4407 5.3582
2.1137 1.2203 1.7489
6.3410 3.6610 6.0520

---

Repeat the sixth record exactly.
LiYGe GGA-PBE optimized geometry; uncorrected energy = -28.73 eV/cell; total magnetization = 0.00 μB/f.u.; SG = No. 12; excess energy over the best structure of this formula in the dataset = 278 meV per atom
1.0
-3.6494 -14.3242 -8.2543
1.0405 -7.3652 -4.3338
2.1560 5.3803 6.3651
Ge Li Y
2 2 2
Cartesian
0.8748 -2.0784 1.0930
-1.3277 -14.2308 -7.3160
-1.1352 -12.2142 -5.6483
0.6824 -4.0949 -0.5747
-1.0126 -9.7428 -3.4263
0.5597 -6.5664 -2.7967